Entry 1:
# Li2CaAl2Sn2

A relaxed structure of Li2CaAl2Sn2 (PBE-GGA, the Alexandria database).

Summary:
DFT formation energy: -231 kJ/mol of formula units
space-group type: No. 166
DFT total energy: -3.3879 eV per atom
magnetization: 0.00 μB per cell
D(E_F): 0.121 states/eV/atom

Unit cell a=8.9656 b=8.9656 c=8.9656 alpha=29.39 beta=29.39 gamma=29.39
Closest atoms and distances in Å follow each position.
Positions (direct):
Li: 0.1453 0.1453 0.1453  3 Al 2.75, 3 Li 2.85, 1 Sn 2.90
Li: 0.8547 0.8547 0.8547  3 Al 2.75, 3 Li 2.85, 1 Sn 2.90
Ca: 0.0000 0.0000 0.0000  6 Sn 3.26
Al: 0.4474 0.4474 0.4474  1 Al 2.70, 3 Li 2.75, 3 Sn 2.81
Al: 0.5526 0.5526 0.5526  1 Al 2.70, 3 Li 2.75, 3 Sn 2.81
Sn: 0.2579 0.2579 0.2579  3 Al 2.81, 1 Li 2.90
Sn: 0.7421 0.7421 0.7421  3 Al 2.81, 1 Li 2.90


Entry 2:
# ScP4Pb

A relaxed structure of ScP4Pb (PBE-GGA, the Alexandria database).

Summary:
DFT formation energy: 110 kJ/mol of formula units
space-group type: No. 216
DFT total energy: -5.0905 eV per atom
magnetization: 0.00 μB per cell
D(E_F): 0.836 states/eV/atom

Unit cell a=5.3638 b=5.3638 c=5.3638 alpha=60.00 beta=60.00 gamma=60.00
Closest atoms and distances in Å follow each position.
Positions (direct):
Sc: 0.0000 0.0000 0.0000  12 P 3.13, 4 Pb 3.28
P: 0.1022 0.6326 0.6326  3 P 2.52
P: 0.6326 0.1022 0.6326  3 P 2.52
P: 0.6326 0.6326 0.1022  3 P 2.52
P: 0.6326 0.6326 0.6326  3 P 2.52
Pb: 0.2500 0.2500 0.2500  12 P 3.16, 4 Sc 3.28


Entry 3:
# AcTlTeSe

A relaxed structure of AcTlTeSe (PBE-GGA, the Alexandria database).

Summary:
space-group type: No. 216
DFT total energy: -4.4213 eV per atom
magnetization: 0.00 μB per cell
offset from the most stable computed form: 51 meV per atom
formation energy (no corrections): -1146 meV per atom

Unit cell a=5.6021 b=5.6021 c=5.6021 alpha=60.00 beta=60.00 gamma=60.00
Closest atoms and distances in Å follow each position.
Positions (direct):
Ac: 0.0000 0.0000 0.0000  4 Se 3.43, 4 Te 3.43
Tl: 0.5000 0.5000 0.5000  4 Se 3.43, 4 Te 3.43
Te: 0.2500 0.2500 0.2500  4 Tl 3.43, 4 Ac 3.43
Se: 0.7500 0.7500 0.7500  4 Tl 3.43, 4 Ac 3.43


magnetization of number 1 (Li2CaAl2Sn2)?
0.00 μB per cell


Which formula does entry 1 have?
Li2CaAl2Sn2